# 1
The following is a PBE calculation of Pr5Dy4Er after structural relaxation, from Alexandria via LeMat-Bulk.

```
Pr5Dy4Er
1.0
-0.974 -1.227 3.258
-7.731 -5.655 -4.442
5.483 -6.963 -2.989
Dy Pr Er
4 5 1
Direct
0.046 0.235 0.092
0.954 0.765 0.908
0.318 0.915 0.636
0.682 0.085 0.364
0.500 0.500 0.000
0.190 0.400 0.380
0.859 0.228 0.718
0.810 0.600 0.620
0.141 0.772 0.282
0.500 0.000 0.000
```

Output
Electronic total energy (eV/atom): -4.549
Total magnetic moment (μB per cell): 0.00
Volume (Å³/f.u.): 348



# 2
The following is a PBE calculation of Li2FeHgCl6 after structural relaxation, from Alexandria via LeMat-Bulk.

```
Li2FeHgCl6
1.0
6.372 0.008 0.002
3.193 5.517 0.010
3.189 1.851 5.821
Cl Fe Li Hg
6 1 2 1
Direct
0.568 0.247 0.231
0.955 0.566 0.231
0.379 0.711 0.770
0.710 0.140 0.771
0.248 0.954 0.231
0.140 0.381 0.770
0.329 0.329 0.011
0.526 0.525 0.424
0.001 0.000 0.000
0.806 0.809 0.577
```

Output
ΔE_f (raw) (eV per atom): -0.97
Total magnetic moment (μB per cell): 0.08
Volume (Å³/f.u.): 204



# 3
The following is a PBE calculation of Tm2P3Pd5 after structural relaxation, from Alexandria via LeMat-Bulk.

```
Tm2P3Pd5
1.0
-0.852 3.411 2.179
-6.422 -2.222 0.968
3.791 -7.146 8.744
Pd Tm P
10 4 6
Direct
0.598 0.925 0.197
0.128 0.206 0.257
0.699 0.396 0.398
0.945 0.082 0.890
0.872 0.706 0.743
0.722 0.996 0.444
0.055 0.582 0.110
0.402 0.425 0.803
0.301 0.896 0.602
0.278 0.496 0.556
0.476 0.777 0.952
0.524 0.277 0.048
0.826 0.237 0.651
0.174 0.737 0.349
0.609 0.567 0.219
0.770 0.689 0.541
0.230 0.189 0.459
0.391 0.067 0.781
0.955 0.489 0.911
0.045 0.989 0.089
```

Output
Electronic total energy (eV/atom): -6.014
Total magnetic moment (μB per cell): 0.00
Volume (Å³/f.u.): 167



# 4
The following is a PBE calculation of BaLiMgAg after structural relaxation, from Alexandria via LeMat-Bulk.

```
BaLiMgAg
1.0
5.467 0.000 0.000
2.734 4.735 0.000
2.734 1.578 4.464
Ba Mg Li Ag
1 1 1 1
Direct
0.000 0.000 0.000
0.500 0.500 0.500
0.750 0.750 0.750
0.250 0.250 0.250
```

Output
Electronic total energy (eV/atom): -2.116
Total magnetic moment (μB per cell): 0.00
Volume (Å³/f.u.): 116



# 5
The following is a PBE calculation of ZrCrRe2 after structural relaxation, from Alexandria via LeMat-Bulk.

```
ZrCrRe2
1.0
2.742 0.000 0.000
-0.946 2.574 0.000
0.000 0.000 8.843
Cr Zr Re
1 1 2
Direct
0.500 0.500 0.750
0.500 0.500 0.250
0.000 0.000 0.525
0.000 0.000 0.975
```

Output
Electronic total energy (eV/atom): -10.673
Total magnetic moment (μB per cell): 0.00
Volume (Å³/f.u.): 62



# 6
The following is a PBE calculation of Tb2Ga after structural relaxation, from Alexandria via LeMat-Bulk.

```
Tb2Ga
1.0
4.580 0.000 0.000
0.000 8.404 0.000
-2.290 0.000 8.307
Ga Tb
4 8
Direct
0.793 0.655 0.585
0.207 0.155 0.415
0.463 0.194 0.925
0.537 0.694 0.075
0.159 0.660 0.319
0.027 0.993 0.054
0.675 0.942 0.350
0.973 0.493 0.946
0.325 0.442 0.650
0.841 0.160 0.681
0.370 0.845 0.739
0.630 0.345 0.261
```

Output
Electronic total energy (eV/atom): -4.477
Total magnetic moment (μB per cell): 0.00
Volume (Å³/f.u.): 80